The following is a PBE calculation of a relaxed structure of Ta2IrRh2, from Alexandria.

Output
- SG: P4/mbm
- Final energy: -9.804 eV per atom
- Energy of formation from the pure elements: -350 meV per atom

a = 7.2643 Å, b = 7.2643 Å, c = 3.0623 Å
α = 90.00°, β = 90.00°, γ = 90.00°
With the nearest neighbours (Å) after each atom.
Element x y z (fractional)
Ta 0.1738 0.3262 0.0000  6 Rh 2.53-2.71
Ta 0.3262 0.8262 0.0000  6 Rh 2.53-2.71
Ta 0.6738 0.1738 0.0000  6 Rh 2.53-2.71
Ta 0.8262 0.6738 0.0000  6 Rh 2.53-2.71
Ir 0.0000 0.0000 0.5000  4 Rh 2.85, 2 Ir 3.06, 8 Ta 3.09
Ir 0.5000 0.5000 0.5000  4 Rh 2.85, 2 Ir 3.06, 8 Ta 3.09
Rh 0.1304 0.6304 0.5000  6 Ta 2.53-2.71, 1 Rh 2.68
Rh 0.3696 0.1304 0.5000  6 Ta 2.53-2.71, 1 Rh 2.68
Rh 0.6304 0.8696 0.5000  6 Ta 2.53-2.71, 1 Rh 2.68
Rh 0.8696 0.3696 0.5000  6 Ta 2.53-2.71, 1 Rh 2.68



The following is a PBE calculation of a relaxed structure of Sr2TaCl, from Alexandria.

Output
- Formation energy (no corrections): 0.422 eV/atom
- SG: I-4m2
- Final energy: -3.844 eV per atom

a = 7.3039 Å, b = 7.3039 Å, c = 7.3039 Å
α = 143.77°, β = 143.77°, γ = 52.18°
With the nearest neighbours (Å) after each atom.
Element x y z (fractional)
Sr 0.0000 0.0000 0.0000  4 Cl 3.21
Sr 0.7500 0.2500 0.5000  4 Ta 3.21
Ta 0.2500 0.7500 0.5000  4 Sr 3.21
Cl 0.5000 0.5000 0.0000  4 Sr 3.21



The following is a PBE calculation of a relaxed structure of CaSmGaGe, from Alexandria.

Output
- SG: F-43m
- Final energy: -4.109 eV per atom
- Energy of formation from the pure elements: -517 meV per atom

a = 5.1616 Å, b = 5.1616 Å, c = 5.1616 Å
α = 60.00°, β = 60.00°, γ = 60.00°
With the nearest neighbours (Å) after each atom.
Element x y z (fractional)
Ca 0.0000 0.0000 0.0000  4 Ga 3.16, 4 Ge 3.16
Sm 0.5000 0.5000 0.5000  4 Ga 3.16, 4 Ge 3.16
Ga 0.7500 0.7500 0.7500  4 Sm 3.16, 4 Ca 3.16
Ge 0.2500 0.2500 0.2500  4 Sm 3.16, 4 Ca 3.16



Which value of final energy does entry 1 give? -9.804 eV per atom



What did the first record say?
The following is a PBE calculation of a relaxed structure of Ta2IrRh2, from Alexandria.

Output
- SG: P4/mbm
- Final energy: -9.804 eV per atom
- Energy of formation from the pure elements: -350 meV per atom

a = 7.2643 Å, b = 7.2643 Å, c = 3.0623 Å
α = 90.00°, β = 90.00°, γ = 90.00°
With the nearest neighbours (Å) after each atom.
Element x y z (fractional)
Ta 0.1738 0.3262 0.0000  6 Rh 2.53-2.71
Ta 0.3262 0.8262 0.0000  6 Rh 2.53-2.71
Ta 0.6738 0.1738 0.0000  6 Rh 2.53-2.71
Ta 0.8262 0.6738 0.0000  6 Rh 2.53-2.71
Ir 0.0000 0.0000 0.5000  4 Rh 2.85, 2 Ir 3.06, 8 Ta 3.09
Ir 0.5000 0.5000 0.5000  4 Rh 2.85, 2 Ir 3.06, 8 Ta 3.09
Rh 0.1304 0.6304 0.5000  6 Ta 2.53-2.71, 1 Rh 2.68
Rh 0.3696 0.1304 0.5000  6 Ta 2.53-2.71, 1 Rh 2.68
Rh 0.6304 0.8696 0.5000  6 Ta 2.53-2.71, 1 Rh 2.68
Rh 0.8696 0.3696 0.5000  6 Ta 2.53-2.71, 1 Rh 2.68



Number 1 is which compound? Ta2IrRh2



final energy of number 2 (Sr2TaCl)? -3.844 eV per atom